(1)
Computed, not measured: a relaxed structure of Zr2PbSe at the PBE level of DFT.

Space group ... No. 166
Total DFT energy (no corrections) ... -6.616 eV/atom
Formation energy (no corrections) ... -0.54 eV/atom
Energy above the most stable polymorph in this dataset ... 80 meV per atom
Magnetization ... 0.0 μB/f.u.
Calculated volume ... 22.591 A^3/atom

a b c (Å): 9.0365 9.0365 9.0365
angles (deg): 21.95 21.95 21.95
Fractional coordinates of all 4 atoms:
Pb 0.2500 0.2500 0.2500
Se 0.7500 0.7500 0.7500
Zr 0.0111 0.0111 0.0111
Zr 0.4889 0.4889 0.4889

---

(2)
Computed, not measured: a relaxed structure of LuHfMo4 at the PBE level of DFT.

Space group ... No. 216
Total DFT energy (no corrections) ... -9.700 eV/atom
Magnetization ... 0.0 μB/f.u.
Calculated volume ... 18.628 A^3/atom
Energy relative to the elements ... -0.067 eV per atom

a b c (Å): 5.4069 5.4069 5.4069
angles (deg): 60.00 60.00 60.00
Fractional coordinates of all 6 atoms:
Mo 0.6249 0.6249 0.1252
Mo 0.6249 0.1252 0.6249
Mo 0.6249 0.6249 0.6249
Mo 0.1252 0.6249 0.6249
Lu 0.2500 0.2500 0.2500
Hf 0.0000 0.0000 0.0000

---

(3)
Computed, not measured: a relaxed structure of Nd2YH at the PBE level of DFT.

Space group ... No. 123
Total DFT energy (no corrections) ... -4.750 eV/atom
Energy above the most stable polymorph in this dataset ... 237 meV per atom
Magnetization ... 0.0 μB/f.u.
Calculated volume ... 25.779 A^3/atom

a b c (Å): 3.4486 3.4486 8.6704
angles (deg): 90.00 90.00 90.00
Fractional coordinates of all 4 atoms:
Y 0.5000 0.5000 0.5000
H 0.5000 0.5000 0.0000
Nd 0.0000 0.0000 0.8105
Nd 0.0000 0.0000 0.1895

---

(4)
Computed, not measured: a relaxed structure of Nd2Y2Th15 at the PBE level of DFT.

Space group ... No. 166
Total DFT energy (no corrections) ... -6.771 eV/atom
Magnetization ... 0.0 μB/f.u.
Calculated volume ... 34.638 A^3/atom
Energy relative to the elements ... 0.269 eV per atom

a b c (Å): 8.7740 8.7740 8.7740
angles (deg): 82.17 82.17 82.17
Fractional coordinates of all 19 atoms:
Nd 0.6597 0.6597 0.6597
Nd 0.3403 0.3403 0.3403
Y 0.8989 0.8989 0.8989
Y 0.1011 0.1011 0.1011
Th 0.5000 0.0000 0.0000
Th 0.0000 0.0000 0.5000
Th 0.0000 0.5000 0.0000
Th 0.0000 0.3038 0.6962
Th 0.3038 0.6962 0.0000
Th 0.6962 0.0000 0.3038
Th 0.6962 0.3038 0.0000
Th 0.3038 0.0000 0.6962
Th 0.0000 0.6962 0.3038
Th 0.8247 0.3457 0.3457
Th 0.3457 0.3457 0.8247
Th 0.3457 0.8247 0.3457
Th 0.1753 0.6543 0.6543
Th 0.6543 0.6543 0.1753
Th 0.6543 0.1753 0.6543

---

(5)
Computed, not measured: a relaxed structure of TlGa2Pd8 at the PBE level of DFT.

Space group ... No. 12
Total DFT energy (no corrections) ... -4.944 eV/atom
Energy above the most stable polymorph in this dataset ... 0 meV per atom
Magnetization ... 0.0 μB/f.u.
Calculated volume ... 15.916 A^3/atom
Energy relative to the elements ... -0.402 eV per atom

a b c (Å): 4.0971 6.4581 7.3358
angles (deg): 109.23 106.22 90.00
Fractional coordinates of all 11 atoms:
Tl 0.5000 0.0000 0.0000
Ga 0.7886 0.3325 0.5772
Ga 0.2114 0.6675 0.4228
Pd 0.3977 0.5223 0.7955
Pd 0.6795 0.9320 0.3590
Pd 0.8363 0.7568 0.6726
Pd 0.9610 0.2714 0.9220
Pd 0.1637 0.2432 0.3274
Pd 0.3205 0.0680 0.6410
Pd 0.6023 0.4777 0.2045
Pd 0.0390 0.7286 0.0780

---

(6)
Computed, not measured: a relaxed structure of Mg2SiTc at the PBE level of DFT.

Space group ... No. 47
Total DFT energy (no corrections) ... -4.668 eV/atom
Formation energy (no corrections) ... 0.08 eV/atom
Magnetization ... 0.0 μB/f.u.
Calculated volume ... 15.612 A^3/atom

a b c (Å): 3.5128 4.1364 4.2976
angles (deg): 90.00 90.00 90.00
Fractional coordinates of all 4 atoms:
Mg 0.0000 0.0000 0.0000
Mg 0.5000 0.5000 0.0000
Si 0.5000 0.0000 0.5000
Tc 0.0000 0.5000 0.5000

---

(7)
Computed, not measured: a relaxed structure of NaLiInPb at the PBE level of DFT.

Space group ... No. 99
Total DFT energy (no corrections) ... -2.600 eV/atom
Energy above the most stable polymorph in this dataset ... 0 meV per atom
Magnetization ... 0.0 μB/f.u.
Calculated volume ... 24.607 A^3/atom
Energy relative to the elements ... -0.180 eV per atom

a b c (Å): 3.3981 3.3981 8.5242
angles (deg): 90.00 90.00 90.00
Fractional coordinates of all 4 atoms:
Na 0.0000 0.0000 0.0793
Li 0.0000 0.0000 0.5643
In 0.5000 0.5000 0.3555
Pb 0.5000 0.5000 0.7856

---

(8)
Computed, not measured: a relaxed structure of CsSrPmCl6 at the PBE level of DFT.

Space group ... No. 163
Total DFT energy (no corrections) ... -4.358 eV/atom
Formation energy (no corrections) ... -2.32 eV/atom
Magnetization ... 0.0 μB/f.u.
Calculated volume ... 40.313 A^3/atom

a b c (Å): 7.5191 7.5191 14.8204
angles (deg): 90.00 90.00 120.00
Fractional coordinates of all 18 atoms:
Cs 0.0000 0.0000 0.0000
Cs 0.0000 0.0000 0.5000
Sr 0.3333 0.6667 0.2500
Sr 0.6667 0.3333 0.7500
Pm 0.6667 0.3333 0.2500
Pm 0.3333 0.6667 0.7500
Cl 0.6305 0.6130 0.1447
Cl 0.9825 0.3695 0.1447
Cl 0.3695 0.9825 0.6447
Cl 0.0175 0.6305 0.8553
Cl 0.3870 0.3695 0.3553
Cl 0.9825 0.6130 0.3553
Cl 0.6130 0.9825 0.8553
Cl 0.6305 0.0175 0.3553
Cl 0.0175 0.3870 0.6447
Cl 0.3870 0.0175 0.1447
Cl 0.6130 0.6305 0.6447
Cl 0.3695 0.3870 0.8553

---

(9)
Computed, not measured: a relaxed structure of TlIrRh2 at the PBE level of DFT.

Space group ... No. 166
Total DFT energy (no corrections) ... -6.148 eV/atom
Energy above the most stable polymorph in this dataset ... 136 meV per atom
Magnetization ... 0.0 μB/f.u.
Calculated volume ... 16.347 A^3/atom
Energy relative to the elements ... 0.335 eV per atom

a b c (Å): 9.1327 9.1327 9.1327
angles (deg): 18.27 18.27 18.27
Fractional coordinates of all 4 atoms:
Tl 0.5000 0.5000 0.5000
Ir 0.0000 0.0000 0.0000
Rh 0.7452 0.7452 0.7452
Rh 0.2548 0.2548 0.2548

---

(10)
Computed, not measured: a relaxed structure of SiTcPt2 at the PBE level of DFT.

Space group ... No. 10
Total DFT energy (no corrections) ... -7.179 eV/atom
Formation energy (no corrections) ... -0.21 eV/atom
Magnetization ... 0.0 μB/f.u.
Calculated volume ... 14.781 A^3/atom

a b c (Å): 4.0445 2.8323 5.3748
angles (deg): 73.80 90.00 90.00
Fractional coordinates of all 4 atoms:
Pt 0.0000 0.1220 0.0082
Pt 0.0000 0.3780 0.4918
Si 0.5000 0.2500 0.2500
Tc 0.5000 0.7500 0.7500

---

(11)
Computed, not measured: a relaxed structure of Sc3Ni8Ge at the PBE level of DFT.

Space group ... No. 160
Total DFT energy (no corrections) ... -6.278 eV/atom
Magnetization ... 0.0 μB/f.u.
Calculated volume ... 13.459 A^3/atom
Energy relative to the elements ... -0.456 eV per atom

a b c (Å): 4.8580 4.8580 8.3856
angles (deg): 73.16 73.16 60.00
Fractional coordinates of all 12 atoms:
Sc 0.3768 0.3768 0.8696
Sc 0.9921 0.9921 0.0237
Sc 0.5057 0.5057 0.4829
Ni 0.9405 0.4384 0.1827
Ni 0.4366 0.9391 0.6853
Ni 0.4384 0.4384 0.1827
Ni 0.9391 0.9391 0.6853
Ni 0.1894 0.1894 0.4319
Ni 0.6890 0.6890 0.9329
Ni 0.4384 0.9405 0.1827
Ni 0.9391 0.4366 0.6853
Ge 0.8649 0.8649 0.4052

---

(12)
Computed, not measured: a relaxed structure of Sm3DyN4 at the PBE level of DFT.

Space group ... No. 221
Total DFT energy (no corrections) ... -8.033 eV/atom
Formation energy (no corrections) ... -1.53 eV/atom
Energy above the most stable polymorph in this dataset ... 5 meV per atom
Magnetization ... 0.0 μB/f.u.
Calculated volume ... 15.969 A^3/atom

a b c (Å): 5.0364 5.0364 5.0364
angles (deg): 90.00 90.00 90.00
Fractional coordinates of all 8 atoms:
Sm 0.0000 0.5000 0.5000
Sm 0.5000 0.0000 0.5000
Sm 0.5000 0.5000 0.0000
Dy 0.0000 0.0000 0.0000
N 0.5000 0.0000 0.0000
N 0.0000 0.5000 0.0000
N 0.0000 0.0000 0.5000
N 0.5000 0.5000 0.5000

---

What is the total DFT energy (no corrections) in the ninth record?
-6.148 eV/atom

---

What is the total DFT energy (no corrections) in the fifth record?
-4.944 eV/atom